(1)
Here is a relaxed structure of LiBiRu3 from Alexandria via LeMat-Bulk. Energies are from PBE.

Results
Energy above the most stable polymorph in this dataset: 0 meV per atom
DOS at the Fermi energy: 13.2 states/eV per cell
V: 15.55 Å³ per atom

Cell and atoms, written as CIF:
```
data_LiBiRu3
_space_group_name_H-M_alt 'P m -3 m'
_space_group_IT_number 221
_space_group_name_Hall '-P 4 2 3'
_cell_length_a 4.268
_cell_length_b 4.268
_cell_length_c 4.268
_cell_angle_alpha 90.00
_cell_angle_beta 90.00
_cell_angle_gamma 90.00
loop_
_atom_site_label
_atom_site_type_symbol
_atom_site_fract_x
_atom_site_fract_y
_atom_site_fract_z
Li1 Li 0.000 0.000 0.000
Bi1 Bi 0.500 0.500 0.500
Ru1 Ru 0.000 0.000 0.500
```

***

(2)
Here is a relaxed structure of LiBi2Ru from Alexandria via LeMat-Bulk. Energies are from PBE.

Results
DOS at the Fermi energy: 14.8 states/eV per cell
V: 26.80 Å³ per atom

Cell and atoms, written as CIF:
```
data_LiBi2Ru
_space_group_name_H-M_alt 'I -4 2 d'
_space_group_IT_number 122
_space_group_name_Hall 'I -4 2bw'
_cell_length_a 9.080
_cell_length_b 9.080
_cell_length_c 5.201
_cell_angle_alpha 90.00
_cell_angle_beta 90.00
_cell_angle_gamma 90.00
loop_
_atom_site_label
_atom_site_type_symbol
_atom_site_fract_x
_atom_site_fract_y
_atom_site_fract_z
Li1 Li 0.000 0.000 0.000
Bi1 Bi 0.135 0.250 0.625
Ru1 Ru 0.000 0.000 0.500
```

***

(3)
Here is a relaxed structure of LiBi2Ru from Alexandria via LeMat-Bulk. Energies are from PBE.

Results
DOS at the Fermi energy: 6.0 states/eV per cell
V: 20.36 Å³ per atom

Cell and atoms, written as CIF:
```
data_LiBi2Ru
_space_group_name_H-M_alt 'I m m m'
_space_group_IT_number 71
_space_group_name_Hall '-I 2 2'
_cell_length_a 4.854
_cell_length_b 4.874
_cell_length_c 6.885
_cell_angle_alpha 90.00
_cell_angle_beta 90.00
_cell_angle_gamma 90.00
loop_
_atom_site_label
_atom_site_type_symbol
_atom_site_fract_x
_atom_site_fract_y
_atom_site_fract_z
Li1 Li 0.000 0.000 0.000
Bi1 Bi 0.000 0.500 0.251
Ru1 Ru 0.000 0.000 0.500
```

***

| no. | energy of formation (meV/atom) |
| --- | --- |
| 1 | 972 |
| 2 | 249 |
| 3 | 8 |